# 1
DFT (PBE) results for a relaxed La3Se crystal.

The structure in POSCAR format:
```
La3Se
1.0
5.715 -0.001 0.000
-1.560 5.498 0.000
0.000 0.000 3.722
La Se
3 1
Direct
0.500 0.500 0.000
0.500 0.000 0.500
0.000 0.500 0.500
0.000 0.000 0.000
```

ΔE_f (raw) = -0.637 eV per atom

# 2
DFT (PBE) results for a relaxed PmTaTi2O8 crystal.

The structure in POSCAR format:
```
PmTaTi2O8
1.0
4.894 0.327 0.208
0.378 4.890 0.207
0.294 0.294 6.747
O Pm Ti Ta
8 1 2 1
Direct
0.789 0.215 0.219
0.215 0.789 0.219
0.676 0.676 0.487
0.733 0.733 0.048
0.211 0.785 0.781
0.267 0.267 0.952
0.785 0.211 0.781
0.324 0.324 0.513
0.000 0.000 0.500
0.439 0.439 0.734
0.561 0.561 0.266
0.000 0.000 0.000
```

ΔE_f (raw) = -3.027 eV per atom

# 3
DFT (PBE) results for a relaxed Mo5Ir crystal.

The structure in POSCAR format:
```
Mo5Ir
1.0
2.689 0.000 0.000
0.000 2.689 0.000
0.000 0.000 13.186
Mo Ir
5 1
Direct
0.000 0.000 0.152
0.000 0.000 0.848
0.500 0.500 0.675
0.000 0.000 0.500
0.500 0.500 0.325
0.500 0.500 0.000
```

Energy relative to the elements = 73 kJ/mol of formula units

# 4
DFT (PBE) results for a relaxed SnAsPd3 crystal.

The structure in POSCAR format:
```
SnAsPd3
1.0
5.530 0.000 0.000
0.000 8.781 0.009
0.000 -2.773 7.209
Sn Pd As
4 12 4
Direct
0.168 0.045 0.821
0.332 0.545 0.321
0.668 0.455 0.679
0.832 0.955 0.179
0.390 0.742 0.702
0.634 0.652 0.085
0.134 0.848 0.415
0.834 0.573 0.397
0.166 0.427 0.603
0.666 0.073 0.897
0.366 0.348 0.915
0.890 0.758 0.798
0.334 0.927 0.103
0.610 0.258 0.298
0.866 0.152 0.585
0.110 0.242 0.202
0.192 0.628 0.950
0.308 0.128 0.450
0.808 0.372 0.050
0.692 0.872 0.550
```

Energy relative to the elements = -186 kJ/mol of formula units

# 5
DFT (PBE) results for a relaxed ThNbGe2 crystal.

The structure in POSCAR format:
```
ThNbGe2
1.0
3.975 0.000 0.000
1.987 3.442 0.000
1.987 1.147 6.608
Nb Th Ge
1 1 2
Direct
0.000 0.000 0.000
0.500 0.500 0.500
0.737 0.737 0.789
0.263 0.263 0.211
```

Energy relative to the elements = -174 kJ/mol of formula units

# 6
DFT (PBE) results for a relaxed LaTbNiRh crystal.

The structure in POSCAR format:
```
LaTbNiRh
1.0
-3.827 0.657 3.075
-3.297 -3.637 0.663
-0.163 -2.440 4.307
Ni La Rh Tb
1 1 1 1
Direct
0.250 0.250 0.250
0.500 0.500 0.500
0.750 0.750 0.750
0.000 0.000 0.000
```

Energy relative to the elements = -197 kJ/mol of formula units

# 7
DFT (PBE) results for a relaxed Nd7Hg2Ru2 crystal.

The structure in POSCAR format:
```
Nd7Hg2Ru2
1.0
-2.903 -2.139 5.969
6.615 -1.587 2.648
1.427 6.807 0.515
Ru Nd Hg
2 7 2
Direct
0.296 0.000 0.704
0.704 0.000 0.296
0.500 0.254 0.000
0.000 0.000 0.000
0.500 0.757 0.500
0.000 0.254 0.500
0.000 0.746 0.500
0.500 0.746 0.000
0.500 0.243 0.500
0.822 0.500 0.822
0.178 0.500 0.178
```

Energy relative to the elements = -216 kJ/mol of formula units

Short version: total energy = -5.20, -9.03, -10.38, -5.23, -7.13, -6.18, -4.98 eV per atom, in the order given.
Short version: M_tot = 0.0, 0.0, 0.0, 0.0, 0.0, 0.0, 0.0 μB per formula unit, in the order given.